No. 1
A geometry-optimized LaSmMgGa structure. Source: the Alexandria database, functional PBE.

Lattice parameters (Å, degrees): 7.585 7.585 7.585 90.00 90.00 90.00
Space group F-43m (No. 216)
Unique sites:
La 0.000 0.000 0.000 (multiplicity 4)
Sm 0.000 0.000 0.500 (multiplicity 4)
Mg 0.250 0.250 0.750 (multiplicity 4)
Ga 0.250 0.250 0.250 (multiplicity 4)

Values from the calculation:
E ... -3.901 eV/atom
ΔE_f ... -0.33 eV per atom
Density of states at the Fermi level ... 15.67 states/eV per cell
M_tot ... 0.000 μB per cell

---

No. 2
A geometry-optimized BeRhBr2 structure. Source: the Alexandria database, functional PBE.

Lattice parameters (Å, degrees): 5.883 3.313 7.656 90.00 107.43 90.00
Space group C2/m (No. 12)
Unique sites:
Be 0.000 0.000 0.000 (multiplicity 2)
Rh 0.000 0.000 0.500 (multiplicity 2)
Br 0.095 0.500 0.803 (multiplicity 4)

Values from the calculation:
Relative energy among the computed polymorphs ... 682 meV/atom
E ... -3.328 eV/atom
Uncorrected formation energy ... 0.28 eV per atom
Density of states at the Fermi level ... 5.06 states/eV per cell
M_tot ... 2.015 μB per cell

---

No. 3
A geometry-optimized YSbRuW2 structure. Source: the Alexandria database, functional PBE.

Lattice parameters (Å, degrees): 4.734 4.734 5.305 90.00 90.00 90.00
Space group P4/mmm (No. 123)
Unique sites:
Y 0.000 0.000 0.000 (multiplicity 1)
Sb 0.500 0.500 0.000 (multiplicity 1)
Ru 0.000 0.000 0.500 (multiplicity 1)
W 0.000 0.500 0.500 (multiplicity 2)

Values from the calculation:
E ... -8.124 eV/atom
Uncorrected formation energy ... 1.03 eV per atom
Density of states at the Fermi level ... 6.12 states/eV per cell
M_tot ... 0.001 μB per cell

---

No. 4
A geometry-optimized DyEr5Sn6 structure. Source: the Alexandria database, functional PBE.

Lattice parameters (Å, degrees): 5.668 13.942 8.464 90.00 102.14 90.00
Space group C2/m (No. 12)
Unique sites:
Dy 0.000 0.000 0.000 (multiplicity 2)
Er 0.000 0.000 0.500 (multiplicity 2)
Er 0.000 0.332 0.000 (multiplicity 4)
Er 0.000 0.334 0.500 (multiplicity 4)
Sn 0.001 0.167 0.749 (multiplicity 8)
Sn 0.005 0.500 0.249 (multiplicity 4)

Values from the calculation:
E ... -4.888 eV/atom
ΔE_f ... -0.60 eV per atom
Density of states at the Fermi level ... 11.26 states/eV per cell
M_tot ... 0.000 μB per cell

---

No. 5
A geometry-optimized Tm2TiCuO6 structure. Source: the Alexandria database, functional PBE.

Lattice parameters (Å, degrees): 3.5717 3.5717 11.2885 90.00 90.00 120.00
Space group P-6m2 (No. 187)
Unique sites:
Tm 0.0000 0.0000 0.2269 (multiplicity 2)
Ti 0.6667 0.3333 0.5000 (multiplicity 1)
Cu 0.3333 0.6667 0.0000 (multiplicity 1)
O 0.0000 0.0000 0.0000 (multiplicity 1)
O 0.0000 0.0000 0.5000 (multiplicity 1)
O 0.3333 0.6667 0.1683 (multiplicity 2)
O 0.6667 0.3333 0.3333 (multiplicity 2)

Values from the calculation:
E ... -7.806 eV/atom
Uncorrected formation energy ... -2.74 eV per atom
Density of states at the Fermi level ... 4.13 states/eV per cell
M_tot ... 0.962 μB per cell

---

No. 6
A geometry-optimized NaUTl2Te4 structure. Source: the Alexandria database, functional PBE.

Lattice parameters (Å, degrees): 7.810 4.496 8.412 90.00 107.13 90.00
Space group P2/m (No. 10)
Unique sites:
Na 0.000 0.000 0.000 (multiplicity 1)
U 0.500 0.500 0.000 (multiplicity 1)
Tl 0.000 0.500 0.500 (multiplicity 1)
Tl 0.500 0.000 0.500 (multiplicity 1)
Te 0.267 0.500 0.216 (multiplicity 2)
Te 0.281 0.000 0.788 (multiplicity 2)

Values from the calculation:
E ... -4.295 eV/atom
Uncorrected formation energy ... -0.56 eV per atom
Density of states at the Fermi level ... 5.90 states/eV per cell
M_tot ... 1.019 μB per cell

---

No. 7
A geometry-optimized Rb2TlZn3Sn4 structure. Source: the Alexandria database, functional PBE.

Lattice parameters (Å, degrees): 4.895 4.895 11.976 90.00 90.00 90.00
Space group P-4m2 (No. 115)
Unique sites:
Rb 0.000 0.500 0.249 (multiplicity 2)
Tl 0.000 0.000 0.500 (multiplicity 1)
Zn 0.000 0.500 0.871 (multiplicity 2)
Zn 0.500 0.500 0.500 (multiplicity 1)
Sn 0.000 0.000 0.000 (multiplicity 1)
Sn 0.000 0.500 0.641 (multiplicity 2)
Sn 0.500 0.500 0.000 (multiplicity 1)

Values from the calculation:
E ... -2.492 eV/atom
ΔE_f ... -0.08 eV per atom
Density of states at the Fermi level ... 4.06 states/eV per cell
M_tot ... 0.000 μB per cell

---

No. 8
A geometry-optimized ZnCu2TcH structure. Source: the Alexandria database, functional PBE.

Lattice parameters (Å, degrees): 3.773 3.773 3.877 90.00 90.00 90.00
Space group P4/mmm (No. 123)
Unique sites:
Zn 0.000 0.000 0.000 (multiplicity 1)
Cu 0.000 0.500 0.500 (multiplicity 2)
Tc 0.500 0.500 0.000 (multiplicity 1)
H 0.500 0.500 0.500 (multiplicity 1)

Values from the calculation:
E ... -4.545 eV/atom
Density of states at the Fermi level ... 1.56 states/eV per cell
M_tot ... 0.000 μB per cell

---

No. 9
A geometry-optimized AcSi2IrOs structure. Source: the Alexandria database, functional PBE.

Lattice parameters (Å, degrees): 4.232 4.232 10.550 90.00 90.00 90.00
Space group I-4m2 (No. 119)
Unique sites:
Ac 0.000 0.000 0.000 (multiplicity 2)
Si 0.000 0.000 0.361 (multiplicity 4)
Ir 0.000 0.500 0.750 (multiplicity 2)
Os 0.000 0.500 0.250 (multiplicity 2)

Values from the calculation:
E ... -7.819 eV/atom
Uncorrected formation energy ... -0.81 eV per atom
Density of states at the Fermi level ... 5.99 states/eV per cell
M_tot ... 0.000 μB per cell

---

No. 10
A geometry-optimized LaCuBr structure. Source: the Alexandria database, functional PBE.

Lattice parameters (Å, degrees): 6.863 6.863 6.863 90.00 90.00 90.00
Space group F-43m (No. 216)
Unique sites:
La 0.000 0.000 0.000 (multiplicity 4)
Cu 0.250 0.250 0.750 (multiplicity 4)
Br 0.000 0.000 0.500 (multiplicity 4)

Values from the calculation:
E ... -3.931 eV/atom
Uncorrected formation energy ... -0.37 eV per atom
Density of states at the Fermi level ... 4.72 states/eV per cell
M_tot ... 0.017 μB per cell

---

No. 11
A geometry-optimized Tb2Pr2Dy7 structure. Source: the Alexandria database, functional PBE.

Lattice parameters (Å, degrees): 11.310 11.523 6.072 90.00 113.36 90.00
Space group C2/m (No. 12)
Unique sites:
Tb 0.000 0.218 0.000 (multiplicity 4)
Pr 0.232 0.000 0.091 (multiplicity 4)
Dy 0.000 0.000 0.500 (multiplicity 2)
Dy 0.088 0.500 0.302 (multiplicity 4)
Dy 0.174 0.236 0.673 (multiplicity 8)

Values from the calculation:
Relative energy among the computed polymorphs ... 5 meV/atom
E ... -4.485 eV/atom
ΔE_f ... 0.15 eV per atom
Density of states at the Fermi level ... 34.93 states/eV per cell
M_tot ... 0.000 μB per cell

---

No. 12
A geometry-optimized Na3Sn4Pt2 structure. Source: the Alexandria database, functional PBE.

Lattice parameters (Å, degrees): 4.727 6.042 8.577 88.64 89.90 67.23
Space group P-1 (No. 2)
Unique sites:
Na 0.000 0.000 0.000 (multiplicity 1)
Na 0.403 0.191 0.294 (multiplicity 2)
Sn 0.107 0.782 0.382 (multiplicity 2)
Sn 0.306 0.389 0.921 (multiplicity 2)
Pt 0.282 0.443 0.611 (multiplicity 2)

Values from the calculation:
Relative energy among the computed polymorphs ... 0 meV/atom
E ... -3.918 eV/atom
ΔE_f ... -0.36 eV per atom
Density of states at the Fermi level ... 3.07 states/eV per cell
M_tot ... 0.000 μB per cell

---

No. 13
A geometry-optimized Na10B13C7 structure. Source: the Alexandria database, functional PBE.

Lattice parameters (Å, degrees): 17.758 2.841 13.217 90.00 113.53 90.00
Space group Cm (No. 8)
Unique sites:
Na 0.000 0.000 0.000 (multiplicity 2)
Na 0.001 0.000 0.501 (multiplicity 2)
Na 0.100 0.500 0.199 (multiplicity 2)
Na 0.101 0.500 0.702 (multiplicity 2)
Na 0.199 0.000 0.401 (multiplicity 2)
Na 0.201 0.000 0.901 (multiplicity 2)
Na 0.299 0.500 0.100 (multiplicity 2)
Na 0.302 0.500 0.602 (multiplicity 2)
Na 0.400 0.000 0.299 (multiplicity 2)
Na 0.401 0.000 0.802 (multiplicity 2)
B 0.027 0.000 0.305 (multiplicity 2)
B 0.067 0.500 0.386 (multiplicity 2)
B 0.067 0.500 0.884 (multiplicity 2)
B 0.140 0.500 0.530 (multiplicity 2)
B 0.162 0.000 0.073 (multiplicity 2)
B 0.231 0.000 0.212 (multiplicity 2)
B 0.237 0.000 0.725 (multiplicity 2)
B 0.270 0.500 0.290 (multiplicity 2)
B 0.334 0.500 0.918 (multiplicity 2)
B 0.364 0.000 0.479 (multiplicity 2)
B 0.432 0.000 0.112 (multiplicity 2)
B 0.433 0.000 0.617 (multiplicity 2)
B 0.473 0.500 0.696 (multiplicity 2)
C 0.036 0.000 0.822 (multiplicity 2)
C 0.131 0.500 0.012 (multiplicity 2)
C 0.172 0.000 0.593 (multiplicity 2)
C 0.268 0.500 0.788 (multiplicity 2)
C 0.332 0.500 0.417 (multiplicity 2)
C 0.367 0.000 0.982 (multiplicity 2)
C 0.464 0.500 0.176 (multiplicity 2)

Values from the calculation:
Relative energy among the computed polymorphs ... 8 meV/atom
E ... -5.392 eV/atom
ΔE_f ... 0.09 eV per atom
Density of states at the Fermi level ... 17.53 states/eV per cell
M_tot ... 0.005 μB per cell

---

No. 14
A geometry-optimized U2Ga2Ru3 structure. Source: the Alexandria database, functional PBE.

Lattice parameters (Å, degrees): 12.392 4.423 4.989 90.00 93.50 90.00
Space group C2/m (No. 12)
Unique sites:
U 0.148 0.000 0.368 (multiplicity 4)
Ga 0.097 0.500 0.873 (multiplicity 4)
Ru 0.000 0.000 0.000 (multiplicity 2)
Ru 0.213 0.000 0.815 (multiplicity 4)

Values from the calculation:
E ... -8.383 eV/atom
ΔE_f ... -0.32 eV per atom
Density of states at the Fermi level ... 16.63 states/eV per cell
M_tot ... 2.521 μB per cell

---

No. 15
A geometry-optimized GaTe4Pb2 structure. Source: the Alexandria database, functional PBE.

Lattice parameters (Å, degrees): 8.003 6.543 9.417 90.00 106.53 90.00
Space group P2_1/m (No. 11)
Unique sites:
Ga 0.245 0.250 0.310 (multiplicity 2)
Te 0.024 0.013 0.766 (multiplicity 4)
Te 0.412 0.250 0.592 (multiplicity 2)
Te 0.422 0.250 0.113 (multiplicity 2)
Pb 0.236 0.750 0.056 (multiplicity 2)
Pb 0.292 0.750 0.583 (multiplicity 2)

Values from the calculation:
Relative energy among the computed polymorphs ... 0 meV/atom
E ... -3.548 eV/atom
Uncorrected formation energy ... -0.26 eV per atom
Density of states at the Fermi level ... 2.70 states/eV per cell
M_tot ... 0.000 μB per cell

---

No. 16
A geometry-optimized TbThTlSn structure. Source: the Alexandria database, functional PBE.

Lattice parameters (Å, degrees): 7.699 7.699 7.699 90.00 90.00 90.00
Space group F-43m (No. 216)
Unique sites:
Tb 0.000 0.000 0.000 (multiplicity 4)
Th 0.000 0.000 0.500 (multiplicity 4)
Tl 0.250 0.250 0.750 (multiplicity 4)
Sn 0.250 0.250 0.250 (multiplicity 4)

Values from the calculation:
E ... -4.940 eV/atom
ΔE_f ... -0.34 eV per atom
Density of states at the Fermi level ... 17.44 states/eV per cell
M_tot ... 0.000 μB per cell

---

No. 17
A geometry-optimized PmAgBiIr structure. Source: the Alexandria database, functional PBE.

Lattice parameters (Å, degrees): 7.084 7.084 7.084 90.00 90.00 90.00
Space group F-43m (No. 216)
Unique sites:
Pm 0.000 0.000 0.000 (multiplicity 4)
Ag 0.250 0.250 0.250 (multiplicity 4)
Bi 0.000 0.000 0.500 (multiplicity 4)
Ir 0.250 0.250 0.750 (multiplicity 4)

Values from the calculation:
E ... -5.327 eV/atom
ΔE_f ... -0.24 eV per atom
Density of states at the Fermi level ... 9.09 states/eV per cell
M_tot ... 0.000 μB per cell

---

No. 18
A geometry-optimized Fe2CoGeH structure. Source: the Alexandria database, functional PBE.

Lattice parameters (Å, degrees): 3.602 3.602 3.776 90.00 90.00 90.00
Space group P4/mmm (No. 123)
Unique sites:
Fe 0.000 0.500 0.000 (multiplicity 2)
Co 0.000 0.000 0.500 (multiplicity 1)
Ge 0.500 0.500 0.500 (multiplicity 1)
H 0.000 0.000 0.000 (multiplicity 1)

Values from the calculation:
E ... -6.468 eV/atom
Density of states at the Fermi level ... 4.17 states/eV per cell
M_tot ... 4.295 μB per cell

---

No. 19
A geometry-optimized Nb3Tl2O8F structure. Source: the Alexandria database, functional PBE.

Lattice parameters (Å, degrees): 6.1824 6.1824 23.9127 90.00 90.00 120.00
Space group R3m (No. 160, hexagonal axes)
Unique sites:
Nb 0.1675 0.3350 0.0000 (multiplicity 9)
Tl 0.0000 0.0000 0.1874 (multiplicity 3)
Tl 0.0000 0.0000 0.7886 (multiplicity 3)
O 0.0000 0.0000 0.3791 (multiplicity 3)
O 0.0000 0.0000 0.9543 (multiplicity 3)
O 0.0358 0.5179 0.9569 (multiplicity 9)
O 0.1810 0.3620 0.7097 (multiplicity 9)
F 0.0000 0.0000 0.4946 (multiplicity 3)

Values from the calculation:
E ... -7.460 eV/atom
Uncorrected formation energy ... -2.00 eV per atom
Density of states at the Fermi level ... 3.31 states/eV per cell
M_tot ... 0.145 μB per cell

---

No. 20
A geometry-optimized Te3Se structure. Source: the Alexandria database, functional PBE.

Lattice parameters (Å, degrees): 7.502 7.502 7.502 90.00 90.00 90.00
Space group Fm-3m (No. 225)
Unique sites:
Te 0.000 0.000 0.000 (multiplicity 4)
Te 0.250 0.250 0.250 (multiplicity 8)
Se 0.000 0.000 0.500 (multiplicity 4)

Values from the calculation:
E ... -2.866 eV/atom
Uncorrected formation energy ... 0.36 eV per atom
Density of states at the Fermi level ... 21.96 states/eV per cell
M_tot ... 0.000 μB per cell

---

No. 21
A geometry-optimized GaOsBr3 structure. Source: the Alexandria database, functional PBE.

Lattice parameters (Å, degrees): 5.259 5.259 5.259 90.00 90.00 90.00
Space group Pm-3m (No. 221)
Unique sites:
Ga 0.000 0.000 0.000 (multiplicity 1)
Os 0.500 0.500 0.500 (multiplicity 1)
Br 0.000 0.000 0.500 (multiplicity 3)

Values from the calculation:
Relative energy among the computed polymorphs ... 707 meV/atom
E ... -2.825 eV/atom
Uncorrected formation energy ... 1.03 eV per atom
Density of states at the Fermi level ... 12.59 states/eV per cell
M_tot ... 4.731 μB per cell

---

No. 22
A geometry-optimized TlIn3Cu structure. Source: the Alexandria database, functional PBE.

Lattice parameters (Å, degrees): 5.173 5.173 5.173 90.00 90.00 90.00
Space group Pm-3m (No. 221)
Unique sites:
Tl 0.000 0.000 0.000 (multiplicity 1)
In 0.000 0.500 0.500 (multiplicity 3)
Cu 0.500 0.500 0.500 (multiplicity 1)

Values from the calculation:
Relative energy among the computed polymorphs ... 0 meV/atom
E ... -2.825 eV/atom
ΔE_f ... 0.11 eV per atom
Density of states at the Fermi level ... 2.26 states/eV per cell
M_tot ... 0.000 μB per cell

---

No. 23
A geometry-optimized ScSiPt2 structure. Source: the Alexandria database, functional PBE.

Lattice parameters (Å, degrees): 3.729 9.860 7.019 90.00 90.00 90.00
Space group Cmcm (No. 63)
Unique sites:
Sc 0.000 0.050 0.250 (multiplicity 4)
Si 0.000 0.232 0.750 (multiplicity 4)
Pt 0.000 0.362 0.048 (multiplicity 8)

Values from the calculation:
E ... -7.115 eV/atom
Uncorrected formation energy ... -1.16 eV per atom
Density of states at the Fermi level ... 4.09 states/eV per cell
M_tot ... 0.000 μB per cell

---

No. 24
A geometry-optimized Hf2VHCl structure. Source: the Alexandria database, functional PBE.

Lattice parameters (Å, degrees): 4.711 4.711 3.418 90.00 90.00 90.00
Space group P4/mmm (No. 123)
Unique sites:
Hf 0.000 0.500 0.000 (multiplicity 2)
V 0.000 0.000 0.500 (multiplicity 1)
H 0.000 0.000 0.000 (multiplicity 1)
Cl 0.500 0.500 0.500 (multiplicity 1)

Values from the calculation:
E ... -6.686 eV/atom
Density of states at the Fermi level ... 5.66 states/eV per cell
M_tot ... 0.000 μB per cell